Record 1
# SiTc2Ir | Alexandria via LeMat-Bulk | PBE | relaxed
data_SiTc2Ir
_chemical_formula_sum 'Si2 Tc4 Ir2'
_cell_length_a 2.906
_cell_length_b 4.350
_cell_length_c 8.824
_cell_angle_alpha 90.00
_cell_angle_beta 90.00
_cell_angle_gamma 90.00
_symmetry_space_group_name_H-M 'I m m m'
_symmetry_Int_Tables_number 71
_symmetry_space_group_name_Hall '-I 2 2'
loop_
_atom_site_label
_atom_site_fract_x
_atom_site_fract_y
_atom_site_fract_z
Si1 0.000 0.000 0.000
Tc1 0.000 0.500 0.278
Ir1 0.000 0.000 0.500
# Raw formation energy ... -0.239 eV/atom
# Total magnetic moment ... 0.0 Bohr magnetons per cell
# Calculated total energy ... -8.99 eV/atom

***

Record 2
# Mn2C | Alexandria via LeMat-Bulk | PBE | relaxed
data_Mn2C
_chemical_formula_sum 'Mn8 C4'
_cell_length_a 4.782
_cell_length_b 4.782
_cell_length_c 4.782
_cell_angle_alpha 90.00
_cell_angle_beta 90.00
_cell_angle_gamma 90.00
_symmetry_space_group_name_H-M 'P a -3'
_symmetry_Int_Tables_number 205
_symmetry_space_group_name_Hall '-P 2ac 2ab 3'
loop_
_atom_site_label
_atom_site_fract_x
_atom_site_fract_y
_atom_site_fract_z
Mn1 0.154 0.154 0.154
C1 0.000 0.000 0.500
# Total magnetic moment ... 2.6 Bohr magnetons per cell
# DFT formation energy ... 0.3 eV per formula unit
# Calculated total energy ... -9.09 eV/atom

***

Record 3
# LiTi2Ga4 | Alexandria via LeMat-Bulk | PBE | relaxed
data_LiTi2Ga4
_chemical_formula_sum 'Li2 Ti4 Ga8'
_cell_length_a 6.397
_cell_length_b 6.397
_cell_length_c 5.894
_cell_angle_alpha 90.00
_cell_angle_beta 90.00
_cell_angle_gamma 90.00
_symmetry_space_group_name_H-M 'I 4/m m m'
_symmetry_Int_Tables_number 139
_symmetry_space_group_name_Hall '-I 4 2'
loop_
_atom_site_label
_atom_site_fract_x
_atom_site_fract_y
_atom_site_fract_z
Li1 0.000 0.000 0.000
Ti1 0.000 0.500 0.000
Ga1 0.250 0.250 0.250
# Total magnetic moment ... 0.0 Bohr magnetons per cell
# DFT formation energy ... -2.2 eV per formula unit
# Calculated total energy ... -4.57 eV/atom

***

Record 4
# CeNiAg | Alexandria via LeMat-Bulk | PBE | relaxed
data_CeNiAg
_chemical_formula_sum 'Ce1 Ni1 Ag1'
_cell_length_a 4.5341
_cell_length_b 4.5341
_cell_length_c 3.4310
_cell_angle_alpha 90.00
_cell_angle_beta 90.00
_cell_angle_gamma 120.00
_symmetry_space_group_name_H-M 'P -6 m 2'
_symmetry_Int_Tables_number 187
_symmetry_space_group_name_Hall 'P -6 2'
loop_
_atom_site_label
_atom_site_fract_x
_atom_site_fract_y
_atom_site_fract_z
Ce1 0.0000 0.0000 0.0000
Ni1 0.3333 0.6667 0.5000
Ag1 0.6667 0.3333 0.5000
# Total magnetic moment ... 0.8 Bohr magnetons per cell
# DFT formation energy ... -0.3 eV per formula unit
# Calculated total energy ... -4.97 eV/atom

***

Among the records above, which one has the highest total magnetic moment? Mn2C

***

total magnetic moment of number 1 (SiTc2Ir)? 0.0 Bohr magnetons per cell

***

What is the total magnetic moment in the second record? 2.6 Bohr magnetons per cell